DFT (GGA-PBE) results for an optimized crystal structure of Na2SnS2Cl2.

Unit cell a=3.6569 b=7.8846 c=7.5182 alpha=53.50 beta=75.92 gamma=76.59
Atoms (fractional coordinates):
Na: 0.1505 0.3990 0.3000
Na: 0.8495 0.6010 0.7000
Sn: 0.0000 0.0000 0.0000
S: 0.5158 0.2393 0.7292
S: 0.4842 0.7607 0.2708
Cl: 0.1975 0.7701 0.8349
Cl: 0.8025 0.2299 0.1651

Values from the calculation:
Magnetization, μB/cell: 0.0
Formation energy (no corrections), kJ/mol of formula units: -698
E, eV per atom: -3.69
SG: C2/m, No. 12